No. 1
A geometry-optimized BaBe3C structure. Source: the Alexandria database, functional GGA-PBE.

Energy of formation from the pure elements in eV/atom: 3.3454
VASP energy in eV/atom: -1.12
V in A^3/atom: 49.3
Relative energy among the computed polymorphs in eV/f.u.: 10.90
Crystal system: cubic

a = 6.2720 Å, b = 6.2720 Å, c = 6.2720 Å
α = 90.00°, β = 90.00°, γ = 90.00°
Closest atoms and distances in Å follow each position.
Space group Pm-3m (No. 221)
Asymmetric unit:
Ba  0.0000  0.0000  0.0000 x1  6 Be 3.14
Be  0.0000  0.0000  0.5000 x3  2 Ba 3.14
C  0.5000  0.5000  0.5000 x1  12 Be 4.43

No. 2
A geometry-optimized Er2Ga2Cu structure. Source: the Alexandria database, functional GGA-PBE.

Energy of formation from the pure elements in eV/atom: -0.3780
VASP energy in eV/atom: -4.23
V in A^3/atom: 22.2
Relative energy among the computed polymorphs in eV/f.u.: 0.91
Crystal system: orthorhombic

a = 6.2181 Å, b = 12.1643 Å, c = 5.8711 Å
α = 90.00°, β = 90.00°, γ = 90.00°
Closest atoms and distances in Å follow each position.
Space group Ibam (No. 72)
Asymmetric unit:
Er  0.2108  0.1497  0.0000 x8  2 Cu 2.95, 5 Ga 2.97-3.14
Ga  0.2356  0.3933  0.0000 x8  2 Cu 2.45
Cu  0.0000  0.5000  0.2500 x4  4 Ga 2.45

No. 3
A geometry-optimized Te2MoP structure. Source: the Alexandria database, functional GGA-PBE.

VASP energy in eV/atom: -4.89
ΔE_f (raw) in eV/atom: 0.7407
V in A^3/atom: 21.5
Crystal system: orthorhombic

a = 3.3617 Å, b = 5.2378 Å, c = 9.7877 Å
α = 90.00°, β = 90.00°, γ = 90.00°
Closest atoms and distances in Å follow each position.
Space group Cmmm (No. 65)
Asymmetric unit:
Te  0.0000  0.0000  0.2260 x4  2 Mo 2.78, 4 Te 3.11
Mo  0.0000  0.5000  0.0000 x2  4 Te 2.78, 4 Mo 3.11
P  0.0000  0.5000  0.5000 x2  6 P 3.11-3.36, 4 Te 3.16